(1)
The following is a DFT calculation (PBE) of a geometry-optimized Tm4Mg9Pb11 structure.

Output
Formation enthalpy at 0 K in eV/atom: -0.107
Final energy in eV per atom: -3.149

Cell lengths 15.806, 23.040, 3.526 Å; angles 90.00, 90.00, 90.00 degrees
Space group Cmmm (No. 65)
Asymmetric unit:
Tm 0.164 0.086 0.000 x8
Mg 0.000 0.000 0.000 x2
Mg 0.108 0.227 0.000 x8
Mg 0.109 0.409 0.000 x8
Pb 0.000 0.124 0.500 x4
Pb 0.000 0.318 0.500 x4
Pb 0.000 0.500 0.500 x2
Pb 0.217 0.500 0.500 x4
Pb 0.225 0.320 0.500 x8

(2)
The following is a DFT calculation (PBE) of a geometry-optimized Tm5Mg12Pb3 structure.

Output
Formation enthalpy at 0 K in eV/atom: 0.619
Final energy in eV per atom: -2.012

Cell lengths 17.872, 17.872, 17.872 Å; angles 90.00, 90.00, 90.00 degrees
Space group Ia-3d (No. 230)
Asymmetric unit:
Tm 0.000 0.000 0.000 x16
Tm 0.000 0.250 0.375 x24
Mg 0.003 0.086 0.650 x96
Pb 0.000 0.250 0.125 x24

(3)
The following is a DFT calculation (PBE) of a geometry-optimized Tm3MgPb4 structure.

Output
Formation enthalpy at 0 K in eV/atom: -0.316
Final energy in eV per atom: -4.047

Cell lengths 10.724, 6.361, 6.375 Å; angles 90.00, 90.00, 90.00 degrees
Space group Pmn2_1 (No. 31)
Asymmetric unit:
Tm 0.000 0.000 0.000 x2
Tm 0.250 0.263 0.250 x4
Mg 0.000 0.504 0.499 x2
Pb 0.000 0.003 0.501 x2
Pb 0.000 0.499 0.998 x2
Pb 0.249 0.762 0.251 x4

(4)
The following is a DFT calculation (PBE) of a geometry-optimized TmMgPb structure.

Output
Formation enthalpy at 0 K in eV/atom: -0.368
Final energy in eV per atom: -3.627

Cell lengths 4.414, 4.414, 15.973 Å; angles 90.00, 90.00, 90.00 degrees
Space group I4/mmm (No. 139)
Asymmetric unit:
Tm 0.000 0.000 0.165 x4
Mg 0.000 0.500 0.000 x4
Pb 0.000 0.000 0.361 x4